Crystalline Sr2PaIn3Se6 at its relaxed geometry. Source: Alexandria, functional PBE.

Values from the calculation:
**Calculated volume**: 31.513 Å³ per atom
**ΔE_f (raw)**: -1.2059 eV/atom
**E**: -56.453 eV/f.u.

Cell lengths 7.597, 13.101, 7.993 Å; angles 90.00, 108.04, 90.00 degrees
Space group C2/m (No. 12)
Symmetry-distinct sites (fractional):
Sr: 0.000 0.166 0.000 x4
Pa: 0.000 0.500 0.000 x2
In: 0.000 0.000 0.500 x2
In: 0.000 0.334 0.500 x4
Se: 0.221 0.351 0.214 x8
Se: 0.225 0.500 0.776 x4